Below is crystalline CaAc2PmSe4 at its relaxed geometry, with properties calculated at the PBE-GGA level.

The density of states at the Fermi level is 0.433 states/eV/atom. The total energy is -43.89 eV for the cell shown. Its uncorrected formation energy is -1446 kJ/mol of formula units. Its total magnetization is 0.000 μB per formula unit.

It has space group P2/m (No. 10), with a = 7.512 Å, b = 4.306 Å, c = 7.540 Å, α = 90.00°, β = 109.08° and γ = 90.00°. The asymmetric unit holds Ca at (0.000, 0.000, 0.000), Ac at (0.000, 0.500, 0.500), Ac at (0.500, 0.000, 0.500), Pm at (0.500, 0.500, 0.000), Se at (0.241, 0.500, 0.229) and Se at (0.253, 0.000, 0.770).

Below is crystalline CaAc3Pm2Se6 at its relaxed geometry, with properties calculated at the PBE-GGA level.

The density of states at the Fermi level is 0.506 states/eV/atom. The total energy is -134.20 eV for the cell shown. Its uncorrected formation energy is -2158 kJ/mol of formula units. Its total magnetization is 0.000 μB per formula unit.

It has space group C2/m (No. 12), with a = 7.483 Å, b = 12.973 Å, c = 7.531 Å, α = 90.00°, β = 109.25° and γ = 90.00°. The asymmetric unit holds Ca at (0.000, 0.000, 0.000), Ac at (0.000, 0.168, 0.500), Ac at (0.000, 0.500, 0.500), Pm at (0.000, 0.333, 0.000), Se at (0.241, 0.165, 0.230) and Se at (0.248, 0.500, 0.230).

Below is crystalline CaAcPmSi at its relaxed geometry, with properties calculated at the PBE-GGA level.

The density of states at the Fermi level is 1.272 states/eV/atom. The total energy is -64.90 eV for the cell shown. Its uncorrected formation energy is 6 kJ/mol of formula units. Its total magnetization is 0.002 μB per formula unit.

It has space group F-43m (No. 216), with a = 7.838 Å, b = 7.838 Å, c = 7.838 Å, α = 90.00°, β = 90.00° and γ = 90.00°. The asymmetric unit holds Ca at (0.000, 0.000, 0.000), Ac at (0.250, 0.250, 0.750), Pm at (0.250, 0.250, 0.250) and Si at (0.000, 0.000, 0.500).